{
  "formula": "MnZnCrO4",
  "functional": "PBE+U",
  "state": "optimized geometry",
  "lattice": [[2.933, -4.540, 0.000], [2.933, 4.540, 0.000], [0.000, 0.000, 6.343]],
  "species": ["Mn", "Mn", "Zn", "Zn", "Cr", "Cr", "O", "O", "O", "O", "O", "O", "O", "O"],
  "frac_coords": [[0.000, 0.000, 0.000], [0.000, 0.000, 0.500], [0.342, 0.658, 0.750], [0.658, 0.342, 0.250], [0.351, 0.649, 0.250], [0.649, 0.351, 0.750], [0.237, 0.763, 0.018], [0.237, 0.763, 0.482], [0.252, 0.277, 0.250], [0.277, 0.252, 0.750], [0.723, 0.748, 0.250], [0.748, 0.723, 0.750], [0.763, 0.237, 0.518], [0.763, 0.237, 0.982]],
  "space_group": "Cmcm",
  "total_energy_ev_per_atom": -6.652
}